Record 1
Here is a relaxed MgTlIn2Hg6 crystal from Alexandria. Energies are from PBE.

Electronic total energy (hartree per atom): -0.0423
Calculated volume (Å³ per atom): 26.91
ΔE_f (meV per atom): -27
Crystal system: monoclinic
DOS(E_F) (states/eV/cell): 7.10

Cell: 9.790 9.790 8.097 Å, 107.28 107.28 120.24°
Positions (direct):
Mg1 0.183 0.817 0.750
Mg2 0.817 0.183 0.250
Tl1 0.468 0.532 0.250
Tl2 0.532 0.468 0.750
In1 0.104 0.385 0.735
In2 0.385 0.104 0.235
In3 0.615 0.896 0.765
In4 0.896 0.615 0.265
Hg1 0.046 0.675 0.996
Hg2 0.127 0.174 0.244
Hg3 0.174 0.127 0.744
Hg4 0.211 0.553 0.477
Hg5 0.325 0.954 0.504
Hg6 0.447 0.789 0.023
Hg7 0.553 0.211 0.977
Hg8 0.675 0.046 0.496
Hg9 0.789 0.447 0.523
Hg10 0.826 0.873 0.256
Hg11 0.873 0.826 0.756
Hg12 0.954 0.325 0.004

Record 2
Here is a relaxed La12PrIn4O3 crystal from Alexandria. Energies are from PBE.

E_form (uncorrected) (eV per formula unit): -18.2
Electronic total energy (hartree per atom): -0.1982
Calculated volume (Å³ per atom): 28.59
Crystal system: cubic
DOS(E_F) (states/eV/cell): 21.30

Cell: 9.056 9.056 9.056 Å, 109.47 109.47 109.47°
Positions (direct):
La1 0.000 0.273 0.273
La2 0.000 0.727 0.727
La3 0.250 0.500 0.750
La4 0.250 0.750 0.500
La5 0.273 0.000 0.273
La6 0.273 0.273 0.000
La7 0.500 0.250 0.750
La8 0.500 0.750 0.250
La9 0.727 0.000 0.727
La10 0.727 0.727 0.000
La11 0.750 0.250 0.500
La12 0.750 0.500 0.250
Pr1 0.000 0.000 0.000
In1 0.000 0.000 0.500
In2 0.000 0.500 0.000
In3 0.500 0.000 0.000
In4 0.500 0.500 0.500
O1 0.000 0.500 0.500
O2 0.500 0.000 0.500
O3 0.500 0.500 0.000

Record 3
Here is a relaxed LaCd2Pt crystal from Alexandria. Energies are from PBE.

Electronic total energy (hartree per atom): -0.1297
Calculated volume (Å³ per atom): 23.19
ΔE_f (meV per atom): -329
Crystal system: tetragonal
DOS(E_F) (states/eV/cell): 2.46

Cell: 3.525 3.525 7.465 Å, 90.00 90.00 90.00°
Positions (direct):
La1 0.000 0.000 0.000
Cd1 0.500 0.500 0.306
Cd2 0.500 0.500 0.694
Pt1 0.000 0.000 0.500